Record 1
A geometry-optimized MgTaSiTc structure. Source: OQMD via LeMat-Bulk, functional GGA-PBE.

The structure in POSCAR format:
```
MgTaSiTc
1.0
4.411 -0.176 0.461
2.201 3.490 1.636
1.801 -0.213 4.051
Tc Si Ta Mg
1 1 1 1
Direct
0.500 0.500 0.500
0.000 0.000 0.000
0.250 0.250 0.250
0.750 0.750 0.750
```

Output
SG	No. 216
magnetic moment	0.00	μB/cell
raw total energy	-29.57	eV/f.u.

Record 2
A geometry-optimized Ta2BiW structure. Source: OQMD via LeMat-Bulk, functional GGA-PBE.

The structure in POSCAR format:
```
Ta2BiW
1.0
0.000 3.368 3.368
3.368 0.000 3.368
3.368 3.368 0.000
Ta Bi W
2 1 1
Direct
0.750 0.750 0.750
0.000 0.000 0.000
0.500 0.500 0.500
0.250 0.250 0.250
```

Output
SG	No. 216
magnetic moment	0.05	μB/cell
raw total energy	-38.10	eV/f.u.

Record 3
A geometry-optimized Li2Mg2GaNi2Sn structure. Source: OQMD via LeMat-Bulk, functional GGA-PBE.

The structure in POSCAR format:
```
Li2Mg2GaNi2Sn
1.0
4.365 0.000 0.000
0.000 4.365 0.000
0.000 0.000 6.191
Li Mg Ni Ga Sn
2 2 2 1 1
Direct
0.000 0.500 0.235
0.500 0.000 0.765
0.500 0.500 0.000
0.000 0.000 0.500
0.000 0.500 0.759
0.500 0.000 0.241
0.000 0.000 0.000
0.500 0.500 0.500
```

Output
SG	No. 115
magnetic moment	0.00	μB/cell
raw total energy	-27.75	eV/f.u.

Record 4
A geometry-optimized PmMo structure. Source: OQMD via LeMat-Bulk, functional GGA-PBE.

The structure in POSCAR format:
```
PmMo
1.0
-1.333 -1.987 3.364
-2.666 1.837 2.562
-3.907 -1.319 0.206
Mo Pm
1 1
Direct
0.000 0.000 0.000
0.500 0.500 0.500
```

Output
SG	No. 225
ΔE_f	1.44	eV/atom
magnetic moment	0.33	μB/cell

Record 5
A geometry-optimized ZrTlAgTe3 structure. Source: OQMD via LeMat-Bulk, functional GGA-PBE.

The structure in POSCAR format:
```
ZrTlAgTe3
1.0
13.173 0.000 0.000
0.000 4.262 0.000
0.000 0.000 12.926
Zr Te Ag Tl
4 12 4 4
Direct
0.546 0.750 0.330
0.954 0.250 0.830
0.046 0.750 0.170
0.454 0.250 0.670
0.917 0.250 0.069
0.482 0.750 0.829
0.243 0.250 0.666
0.757 0.750 0.334
0.018 0.250 0.329
0.417 0.250 0.431
0.083 0.750 0.931
0.257 0.750 0.166
0.982 0.750 0.671
0.743 0.250 0.834
0.583 0.750 0.569
0.518 0.250 0.171
0.232 0.250 0.307
0.768 0.750 0.693
0.268 0.750 0.807
0.732 0.250 0.193
0.183 0.750 0.480
0.817 0.250 0.520
0.683 0.750 0.020
0.317 0.250 0.980
```

Output
SG	No. 62
magnetic moment	0.01	μB/cell
raw total energy	-26.06	eV/f.u.

Record 6
A geometry-optimized BaSrHg2Bi4 structure. Source: OQMD via LeMat-Bulk, functional GGA-PBE.

The structure in POSCAR format:
```
BaSrHg2Bi4
1.0
-2.443 2.443 10.649
2.443 -2.443 10.649
2.443 2.443 -10.649
Sr Bi Hg Ba
1 4 2 1
Direct
0.871 0.871 0.000
0.657 0.657 0.000
0.993 0.493 0.500
0.354 0.354 0.000
0.493 0.993 0.500
0.254 0.754 0.500
0.754 0.254 0.500
0.123 0.123 0.000
```

Output
SG	No. 107
raw total energy	-24.00	eV/f.u.

Record 7
A geometry-optimized Pr3Ge4Au2 structure. Source: OQMD via LeMat-Bulk, functional GGA-PBE.

The structure in POSCAR format:
```
Pr3Ge4Au2
1.0
-0.402 1.974 -5.731
-4.114 -0.118 -4.469
-2.448 7.002 4.406
Ge Au Pr
4 2 3
Direct
0.946 0.946 0.613
0.717 0.717 0.048
0.054 0.054 0.387
0.283 0.283 0.952
0.616 0.616 0.284
0.384 0.384 0.716
0.663 0.663 0.671
0.337 0.337 0.329
0.000 0.000 0.000
```

Output
SG	No. 12
magnetic moment	0.01	μB/cell
raw total energy	-46.44	eV/f.u.

Record 8
A geometry-optimized BeAlOs2 structure. Source: OQMD via LeMat-Bulk, functional GGA-PBE.

The structure in POSCAR format:
```
BeAlOs2
1.0
-0.090 -3.704 2.005
-0.145 -0.114 4.208
-3.516 -1.253 1.953
Os Be Al
2 1 1
Direct
0.000 0.000 0.000
0.750 0.750 0.750
0.250 0.250 0.250
0.500 0.500 0.500
```

Output
SG	No. 216
magnetic moment	0.02	μB/cell
raw total energy	-29.58	eV/f.u.

Record 9
A geometry-optimized ErCdNO structure. Source: OQMD via LeMat-Bulk, functional GGA-PBE.

The structure in POSCAR format:
```
ErCdNO
1.0
-3.255 -1.293 1.564
1.127 -3.610 -0.640
3.500 -0.172 7.141
O Cd N Er
2 2 2 2
Direct
0.000 0.500 0.000
0.500 0.000 0.000
0.000 0.500 0.500
0.500 0.000 0.500
0.500 0.500 0.682
0.000 0.000 0.318
0.000 0.000 0.865
0.500 0.500 0.135
```

Output
SG	No. 129
magnetic moment	0.00	μB/cell
raw total energy	-23.69	eV/f.u.

Record 10
A geometry-optimized SrFeMo2 structure. Source: OQMD via LeMat-Bulk, functional GGA-PBE.

The structure in POSCAR format:
```
SrFeMo2
1.0
0.000 3.301 3.301
3.301 0.000 3.301
3.301 3.301 0.000
Fe Mo Sr
1 2 1
Direct
0.250 0.250 0.250
0.750 0.750 0.750
0.000 0.000 0.000
0.500 0.500 0.500
```

Output
SG	No. 216
magnetic moment	2.24	μB/cell
raw total energy	-27.65	eV/f.u.